Record 1
The following is a DFT calculation (PBE) of crystalline Tm4GaSnRu2 at its relaxed geometry.

Cell lengths 4.9315, 4.9315, 8.5442 Å; angles 73.23, 73.23, 60.00 degrees
Element x y z (fractional)
Tm: 0.3785 0.3785 0.8644
Tm: 0.8717 0.8717 0.3848
Tm: 0.1283 0.1283 0.6152
Tm: 0.6215 0.6215 0.1356
Ga: 0.5000 0.5000 0.5000
Sn: 0.0000 0.0000 0.0000
Ru: 0.7494 0.7494 0.7519
Ru: 0.2506 0.2506 0.2481

Values from the calculation:
The value obtained for the energy relative to the elements is -3.9 eV per formula unit. Its electronic total energy is -5.92 eV/atom. The density of states at the Fermi level is 2.88 states/eV/cell.

Record 2
The following is a DFT calculation (PBE) of crystalline Th2AsHRh6 at its relaxed geometry.

Cell lengths 4.5211, 4.5211, 8.3233 Å; angles 90.00, 90.00, 90.00 degrees
Element x y z (fractional)
Th: 0.0000 0.0000 0.7322
Th: 0.0000 0.0000 0.2678
As: 0.5000 0.5000 0.0000
H: 0.5000 0.5000 0.5000
Rh: 0.5000 0.0000 0.0000
Rh: 0.5000 0.0000 0.5000
Rh: 0.0000 0.5000 0.0000
Rh: 0.0000 0.5000 0.5000
Rh: 0.5000 0.5000 0.7172
Rh: 0.5000 0.5000 0.2828

Values from the calculation:
Its electronic total energy is -7.28 eV/atom. The density of states at the Fermi level is 1.71 states/eV/cell.

Record 3
The following is a DFT calculation (PBE) of crystalline Pm2Sm3Y8 at its relaxed geometry.

Cell lengths 5.6767, 7.7005, 10.9420 Å; angles 110.60, 90.02, 90.00 degrees
Element x y z (fractional)
Pm: 0.4992 0.2414 0.4828
Pm: 0.5008 0.7586 0.5172
Sm: 0.5000 0.0000 0.0000
Sm: 0.0000 0.2890 0.0000
Sm: 0.0000 0.7110 0.0000
Y: 0.0006 0.6681 0.3362
Y: 0.9994 0.3319 0.6638
Y: 0.9998 0.1326 0.2652
Y: 0.0002 0.8674 0.7348
Y: 0.4998 0.6038 0.7859
Y: 0.4998 0.1821 0.7859
Y: 0.5002 0.8179 0.2141
Y: 0.5002 0.3962 0.2141

Values from the calculation:
The value obtained for the energy relative to the elements is 3.2 eV per formula unit. Its electronic total energy is -5.55 eV/atom. The density of states at the Fermi level is 25.51 states/eV/cell.